Here is a geometry-optimized Li3MgAu4 structure from Alexandria. Energies are from GGA-PBE.

Cell lengths 3.184, 3.184, 12.565 Å; angles 90.00, 90.00, 90.00 degrees
Space group P4/mmm (No. 123)
Unique sites:
Li: 0.000 0.000 0.000
Li: 0.000 0.000 0.239
Mg: 0.000 0.000 0.500
Au: 0.500 0.500 0.120
Au: 0.500 0.500 0.363

- V: 15.927 Å³/atom
- ΔH_f (0 K): -0.562 eV/atom
- Size of the total moment: 0.0 μB/f.u.
- Density of states at the Fermi level: 1.69 states/eV/f.u.

Here is a geometry-optimized Li5MgAu structure from Alexandria. Energies are from GGA-PBE.

Cell lengths 4.032, 4.032, 8.346 Å; angles 90.00, 90.00, 90.00 degrees
Space group P4/mmm (No. 123)
Unique sites:
Li: 0.000 0.000 0.000
Li: 0.000 0.500 0.227
Mg: 0.000 0.000 0.500
Au: 0.500 0.500 0.000

- V: 19.381 Å³/atom
- Energy relative to the lowest polymorph listed for this composition: 3.6 kJ/mol of atoms
- ΔH_f (0 K): -0.147 eV/atom
- Size of the total moment: 0.0 μB/f.u.
- Density of states at the Fermi level: 2.84 states/eV/f.u.

Here is a geometry-optimized Li4MgAu15 structure from Alexandria. Energies are from GGA-PBE.

Cell lengths 4.075, 4.075, 20.532 Å; angles 90.00, 90.00, 90.00 degrees
Space group P4/mmm (No. 123)
Unique sites:
Li: 0.000 0.000 0.099
Li: 0.000 0.000 0.297
Mg: 0.000 0.000 0.500
Au: 0.000 0.500 0.000
Au: 0.000 0.500 0.198
Au: 0.000 0.500 0.397
Au: 0.500 0.500 0.099
Au: 0.500 0.500 0.297
Au: 0.500 0.500 0.500

- V: 17.048 Å³/atom
- ΔH_f (0 K): -0.358 eV/atom
- Size of the total moment: 0.0 μB/f.u.
- Density of states at the Fermi level: 6.56 states/eV/f.u.

Here is a geometry-optimized LiMgAu structure from Alexandria. Energies are from GGA-PBE.

Cell lengths 6.323, 6.323, 6.323 Å; angles 90.00, 90.00, 90.00 degrees
Space group F-43m (No. 216)
Unique sites:
Li: 0.000 0.000 0.000
Mg: 0.000 0.000 0.500
Au: 0.250 0.250 0.250

- V: 21.063 Å³/atom
- Energy relative to the lowest polymorph listed for this composition: 10.9 kJ/mol of atoms
- ΔH_f (0 K): -0.394 eV/atom
- Size of the total moment: 0.0 μB/f.u.
- Density of states at the Fermi level: 1.20 states/eV/f.u.

Here is a geometry-optimized Li2Mg3Au4 structure from Alexandria. Energies are from GGA-PBE.

Cell lengths 4.204, 4.839, 8.662 Å; angles 78.96, 89.01, 64.64 degrees
Space group P-1 (No. 2)
Unique sites:
Li: 0.170 0.157 0.210
Mg: 0.162 0.180 0.573
Mg: 0.500 0.500 0.000
Au: 0.165 0.173 0.891
Au: 0.479 0.546 0.665

- V: 17.322 Å³/atom
- ΔH_f (0 K): -0.528 eV/atom
- Size of the total moment: 0.0 μB/f.u.
- Density of states at the Fermi level: 2.81 states/eV/f.u.

Here is a geometry-optimized Li3Mg4Au4 structure from Alexandria. Energies are from GGA-PBE.

Cell lengths 3.361, 8.122, 15.488 Å; angles 90.00, 90.00, 90.00 degrees
Space group Immm (No. 71)
Unique sites:
Li: 0.000 0.000 0.000
Li: 0.000 0.500 0.098
Mg: 0.000 0.305 0.337
Au: 0.000 0.000 0.258
Au: 0.000 0.195 0.500

- V: 19.219 Å³/atom
- ΔH_f (0 K): -0.450 eV/atom
- Size of the total moment: 0.0 μB/f.u.
- Density of states at the Fermi level: 2.61 states/eV/f.u.

Here is a geometry-optimized Li6Mg2Au structure from Alexandria. Energies are from GGA-PBE.

Cell lengths 14.127, 7.997, 2.916 Å; angles 90.00, 91.20, 90.00 degrees
Space group C2/m (No. 12)
Unique sites:
Li: 0.000 0.182 0.000
Li: 0.159 0.341 0.998
Mg: 0.168 0.000 0.499
Au: 0.000 0.500 0.500

- V: 18.300 Å³/atom
- ΔH_f (0 K): -0.143 eV/atom
- Size of the total moment: 0.0 μB/f.u.
- Density of states at the Fermi level: 5.69 states/eV/f.u.

Here is a geometry-optimized LiMg3Au3 structure from Alexandria. Energies are from GGA-PBE.

Cell lengths 9.368, 9.498, 6.068 Å; angles 90.00, 90.00, 90.00 degrees
Space group Cmmm (No. 65)
Unique sites:
Li: 0.000 0.249 0.000
Mg: 0.000 0.253 0.500
Mg: 0.236 0.500 0.000
Mg: 0.245 0.500 0.500
Au: 0.000 0.000 0.244
Au: 0.250 0.250 0.245

- V: 19.284 Å³/atom
- Energy relative to the lowest polymorph listed for this composition: 0.0 kJ/mol of atoms
- ΔH_f (0 K): -0.489 eV/atom
- Size of the total moment: 0.0 μB/f.u.
- Density of states at the Fermi level: 2.20 states/eV/f.u.

Here is a geometry-optimized Li5Mg3Au2 structure from Alexandria. Energies are from GGA-PBE.

Cell lengths 10.758, 13.148, 5.425 Å; angles 90.00, 90.00, 90.00 degrees
Space group Ibam (No. 72)
Unique sites:
Li: 0.000 0.000 0.250
Li: 0.123 0.161 0.000
Li: 0.245 0.000 0.250
Mg: 0.000 0.500 0.250
Mg: 0.116 0.277 0.500
Au: 0.149 0.353 0.000

- V: 19.183 Å³/atom
- ΔH_f (0 K): -0.205 eV/atom
- Size of the total moment: 0.0 μB/f.u.
- Density of states at the Fermi level: 4.05 states/eV/f.u.

Here is a geometry-optimized LiMg6Au structure from Alexandria. Energies are from GGA-PBE.

Cell lengths 6.414, 10.775, 5.985 Å; angles 90.00, 118.59, 90.00 degrees
Space group C2/m (No. 12)
Unique sites:
Li: 0.000 0.000 0.000
Mg: 0.240 0.291 0.752
Mg: 0.248 0.500 0.257
Au: 0.000 0.500 0.500

- V: 22.702 Å³/atom
- ΔH_f (0 K): -0.036 eV/atom
- Size of the total moment: 0.0 μB/f.u.
- Density of states at the Fermi level: 2.50 states/eV/f.u.

Here is a geometry-optimized LiMg2AuN structure from Alexandria. Energies are from GGA-PBE.

Cell lengths 4.212, 4.212, 4.179 Å; angles 90.00, 90.00, 90.00 degrees
Space group P4/mmm (No. 123)
Unique sites:
Li: 0.000 0.000 0.000
Mg: 0.000 0.500 0.500
Au: 0.500 0.500 0.000
N: 0.000 0.000 0.500

- V: 14.832 Å³/atom
- Energy relative to the elements, uncorrected: -0.54 eV/atom
- Size of the total moment: 0.0 μB/f.u.
- Density of states at the Fermi level: 2.17 states/eV/f.u.

Here is a geometry-optimized NaLiMg2Au structure from Alexandria. Energies are from GGA-PBE.

Cell lengths 5.187, 5.187, 5.039 Å; angles 90.00, 90.00, 90.00 degrees
Space group P4/mmm (No. 123)
Unique sites:
Na: 0.000 0.000 0.000
Li: 0.500 0.500 0.000
Mg: 0.000 0.500 0.500
Au: 0.500 0.500 0.500

- V: 27.110 Å³/atom
- ΔH_f (0 K): -0.162 eV/atom
- Size of the total moment: 0.0 μB/f.u.
- Density of states at the Fermi level: 2.29 states/eV/f.u.

Look up the V of the eighth one.
19.284 Å³/atom

Look up the V of the ninth one.
19.183 Å³/atom

Which of these has the highest V?
NaLiMg2Au